1.
A relaxed Te2PbBr crystal, computed with GGA-PBE.

- Fermi-level density of states (states/eV per atom) = 0.18
- VASP energy (eV/atom) = -3.190
- spin magnetization (μB/cell) = 0.00
- calculated volume (A^3/atom) = 40.682
- energy relative to the elements, uncorrected (eV per atom) = -0.27

a b c (Å): 4.423 4.348 8.461
angles (deg): 90.00 90.00 90.00
Atoms (fractional coordinates):
1 Pb 0.500 0.500 0.710
2 Te 0.000 0.000 0.093
3 Te 0.500 0.500 0.066
4 Br 0.000 0.000 0.632

=====

2.
A relaxed TePbBr2 crystal, computed with GGA-PBE.

- Fermi-level density of states (states/eV per atom) = 0.96
- VASP energy (eV/atom) = -2.629
- spin magnetization (μB/cell) = 0.62
- calculated volume (A^3/atom) = 29.388
- energy relative to the elements, uncorrected (eV per atom) = -0.08

a b c (Å): 5.889 5.889 5.889
angles (deg): 129.81 129.81 73.71
Site moments in Bohr magnetons follow the coordinates.
Atoms (fractional coordinates):
1 Pb 0.250 0.750 0.500  0.01
2 Te 0.750 0.250 0.500  0.27
3 Br 0.000 0.000 0.000  0.04
4 Br 0.500 0.500 0.000  0.04